AlB3O: relaxed, PBE.

Unit cell a=4.131 b=4.131 c=4.131 alpha=90.00 beta=90.00 gamma=90.00
Atoms (fractional coordinates):
Al 0.000 0.000 0.000
B 0.000 0.000 0.500
B 0.000 0.500 0.000
B 0.500 0.000 0.000
O 0.500 0.500 0.500

**ΔE_f (raw)**: 2.1533 eV per atom
**ΔE to the lowest computed polymorph**: 640 meV per atom